Record 1
The following is a PBE calculation of an optimized crystal structure of Li7Ag3Ge, from Alexandria via LeMat-Bulk.

Cell lengths 10.543, 10.543, 12.636 Å; angles 90.00, 90.00, 164.37 degrees
Fractional coordinates of all 22 atoms:
Li (0.052, 0.948, 0.584)
Li (0.052, 0.948, 0.916)
Li (0.074, 0.926, 0.143)
Li (0.074, 0.926, 0.357)
Li (0.137, 0.863, 0.750)
Li (0.244, 0.756, 0.117)
Li (0.244, 0.756, 0.383)
Li (0.756, 0.244, 0.617)
Li (0.756, 0.244, 0.883)
Li (0.863, 0.137, 0.250)
Li (0.926, 0.074, 0.643)
Li (0.926, 0.074, 0.857)
Li (0.948, 0.052, 0.084)
Li (0.948, 0.052, 0.416)
Ag (0.331, 0.669, 0.750)
Ag (0.348, 0.652, 0.501)
Ag (0.348, 0.652, 0.999)
Ag (0.652, 0.348, 0.001)
Ag (0.652, 0.348, 0.499)
Ag (0.669, 0.331, 0.250)
Ge (0.482, 0.518, 0.250)
Ge (0.518, 0.482, 0.750)

Summary:
total magnetic moment	0.0	μB/f.u.
E	-28.572	eV/f.u.

=====

Record 2
The following is a PBE calculation of an optimized crystal structure of LiAg4Ge, from Alexandria via LeMat-Bulk.

Cell lengths 5.501, 5.501, 5.501 Å; angles 60.00, 60.00, 60.00 degrees
Fractional coordinates of all 6 atoms:
Li (0.000, 0.000, 0.000)
Ag (0.375, 0.375, 0.375)
Ag (0.375, 0.375, 0.876)
Ag (0.375, 0.876, 0.375)
Ag (0.876, 0.375, 0.375)
Ge (0.750, 0.750, 0.750)

Summary:
total magnetic moment	0.0	μB/f.u.
offset from the most stable computed form	0.90	eV/f.u.

=====

Record 3
The following is a PBE calculation of an optimized crystal structure of Li2Ag4Ge, from Alexandria via LeMat-Bulk.

Cell lengths 5.747, 5.561, 5.588 Å; angles 62.05, 58.74, 59.21 degrees
Fractional coordinates of all 7 atoms:
Li (0.249, 0.751, 0.249)
Li (0.751, 0.249, 0.751)
Ag (0.250, 0.250, 0.250)
Ag (0.251, 0.748, 0.749)
Ag (0.748, 0.251, 0.252)
Ag (0.750, 0.750, 0.750)
Ge (0.750, 0.750, 0.250)

Summary:
total magnetic moment	0.0	μB/f.u.
offset from the most stable computed form	0.00	eV/f.u.

=====

Record 4
The following is a PBE calculation of an optimized crystal structure of Li3Ag4Ge4, from Alexandria via LeMat-Bulk.

Cell lengths 8.627, 8.627, 8.627 Å; angles 150.61, 135.82, 53.95 degrees
Fractional coordinates of all 11 atoms:
Li (0.000, 0.000, 0.000)
Li (0.359, 0.859, 0.500)
Li (0.641, 0.141, 0.500)
Ag (0.215, 0.215, 0.000)
Ag (0.283, 0.500, 0.783)
Ag (0.717, 0.500, 0.217)
Ag (0.785, 0.785, 0.000)
Ge (0.041, 0.338, 0.703)
Ge (0.364, 0.662, 0.703)
Ge (0.636, 0.338, 0.297)
Ge (0.959, 0.662, 0.297)

Summary:
total magnetic moment	0.0	μB/f.u.
offset from the most stable computed form	1.07	eV/f.u.

=====

Record 5
The following is a PBE calculation of an optimized crystal structure of Li3Ag8Ge2, from Alexandria via LeMat-Bulk.

Cell lengths 10.296, 10.296, 10.296 Å; angles 30.72, 30.72, 30.72 degrees
Fractional coordinates of all 13 atoms:
Li (0.000, 0.000, 0.000)
Li (0.184, 0.184, 0.184)
Li (0.816, 0.816, 0.816)
Ag (0.226, 0.730, 0.730)
Ag (0.270, 0.270, 0.774)
Ag (0.270, 0.774, 0.270)
Ag (0.274, 0.274, 0.274)
Ag (0.726, 0.726, 0.726)
Ag (0.730, 0.226, 0.730)
Ag (0.730, 0.730, 0.226)
Ag (0.774, 0.270, 0.270)
Ge (0.361, 0.361, 0.361)
Ge (0.639, 0.639, 0.639)

Summary:
total magnetic moment	0.0	μB/f.u.
E	-37.127	eV/f.u.

=====

Record 6
The following is a PBE calculation of an optimized crystal structure of Li3Ag3Ge, from Alexandria via LeMat-Bulk.

Cell lengths 7.462, 7.462, 4.718 Å; angles 90.00, 90.00, 120.00 degrees
Fractional coordinates of all 14 atoms:
Li (0.099, 0.482, 0.250)
Li (0.383, 0.901, 0.250)
Li (0.482, 0.383, 0.750)
Li (0.518, 0.617, 0.250)
Li (0.617, 0.099, 0.750)
Li (0.901, 0.518, 0.750)
Ag (0.073, 0.255, 0.750)
Ag (0.182, 0.927, 0.750)
Ag (0.255, 0.182, 0.250)
Ag (0.745, 0.818, 0.750)
Ag (0.818, 0.073, 0.250)
Ag (0.927, 0.745, 0.250)
Ge (0.333, 0.667, 0.750)
Ge (0.667, 0.333, 0.250)

Summary:
total magnetic moment	0.0	μB/f.u.
E	-20.483	eV/f.u.

=====

Record 7
The following is a PBE calculation of an optimized crystal structure of LiAg2Ge4, from Alexandria via LeMat-Bulk.

Cell lengths 4.584, 4.584, 13.574 Å; angles 90.00, 90.00, 90.00 degrees
Fractional coordinates of all 14 atoms:
Li (0.000, 0.000, 0.000)
Li (0.500, 0.500, 0.500)
Ag (0.000, 0.000, 0.369)
Ag (0.000, 0.000, 0.631)
Ag (0.500, 0.500, 0.131)
Ag (0.500, 0.500, 0.869)
Ge (0.000, 0.000, 0.180)
Ge (0.000, 0.000, 0.820)
Ge (0.000, 0.500, 0.000)
Ge (0.000, 0.500, 0.500)
Ge (0.500, 0.000, 0.000)
Ge (0.500, 0.000, 0.500)
Ge (0.500, 0.500, 0.320)
Ge (0.500, 0.500, 0.680)

Summary:
total magnetic moment	0.0	μB/f.u.
E	-22.955	eV/f.u.

=====

Record 8
The following is a PBE calculation of an optimized crystal structure of Li2Ag3Ge2, from Alexandria via LeMat-Bulk.

Cell lengths 9.134, 4.027, 6.567 Å; angles 90.00, 99.85, 90.00 degrees
Fractional coordinates of all 14 atoms:
Li (0.073, 0.000, 0.221)
Li (0.427, 0.500, 0.779)
Li (0.573, 0.500, 0.221)
Li (0.927, 0.000, 0.779)
Ag (0.000, 0.500, 0.500)
Ag (0.214, 0.000, 0.648)
Ag (0.286, 0.500, 0.352)
Ag (0.500, 0.000, 0.500)
Ag (0.714, 0.500, 0.648)
Ag (0.786, 0.000, 0.352)
Ge (0.145, 0.500, 0.933)
Ge (0.355, 0.000, 0.067)
Ge (0.645, 0.000, 0.933)
Ge (0.855, 0.500, 0.067)

Summary:
total magnetic moment	0.0	μB/f.u.
offset from the most stable computed form	0.10	eV/f.u.